DFT (PBE) results for Mg7In12Sn after structural relaxation.

The value obtained for the energy relative to the lowest polymorph listed for this composition is 19 meV per atom.

The structure in CIF format:
```
data_Mg7In12Sn
_chemical_formula_sum 'Mg7 In12 Sn1'
_space_group_name_H-M_alt 'P -1'
_space_group_IT_number 2
_cell_length_a 6.0742
_cell_length_b 9.9810
_cell_length_c 10.1879
_cell_angle_alpha 114.81
_cell_angle_beta 101.87
_cell_angle_gamma 101.31
loop_
_space_group_symop_operation_xyz
'x,y,z'
'-x,-y,-z'
loop_
_atom_site_label
_atom_site_type_symbol
_atom_site_fract_x
_atom_site_fract_y
_atom_site_fract_z
Mg1 Mg 0.0000 0.0000 0.0000
Mg2 Mg 0.1438 0.7628 0.7008
Mg3 Mg 0.3741 0.9470 0.2389
Mg4 Mg 0.4459 0.3028 0.0632
In1 In 0.0250 0.6418 0.9301
In2 In 0.1044 0.0798 0.7130
In3 In 0.1735 0.4401 0.6327
In4 In 0.2773 0.8217 0.4508
In5 In 0.3913 0.3064 0.3714
In6 In 0.4389 0.6319 0.1864
Sn1 Sn 0.5000 0.0000 0.0000
```

***

DFT (PBE) results for Tb5Y6Th after structural relaxation.

The value obtained for the energy relative to the lowest polymorph listed for this composition is 0 meV per atom.

The structure in CIF format:
```
data_Tb5Y6Th
_chemical_formula_sum 'Tb10 Y12 Th2'
_space_group_name_H-M_alt 'C 1 2/m 1'
_space_group_IT_number 12
_cell_length_a 6.1899
_cell_length_b 10.7143
_cell_length_c 11.8140
_cell_angle_alpha 90.00
_cell_angle_beta 100.04
_cell_angle_gamma 90.00
loop_
_space_group_symop_operation_xyz
'x,y,z'
'-x,-y,-z'
'-x,y,-z'
'x,-y,z'
'x+1/2,y+1/2,z'
'-x+1/2,-y+1/2,-z'
'-x+1/2,y+1/2,-z'
'x+1/2,-y+1/2,z'
loop_
_atom_site_label
_atom_site_type_symbol
_atom_site_fract_x
_atom_site_fract_y
_atom_site_fract_z
Tb1 Tb 0.0000 0.0000 0.0000
Tb2 Tb 0.0000 0.1667 0.5000
Tb3 Tb 0.0000 0.3327 0.0000
Y1 Y 0.2474 0.5000 0.2509
Y2 Y 0.2477 0.3349 0.7492
Th1 Th 0.0000 0.5000 0.5000
```

***

Number 1: calculated formation energy -11 meV/atom, DOS(E_F) 8.06 states/eV per cell. Number 2: calculated formation energy 24 meV/atom, DOS(E_F) 32.78 states/eV per cell.